# 1
NdPt2 PBE relaxed; V = 118.9 Å³ per cell; magnetic moment = 0.00 μB per formula unit; crystal system = cubic; formation energy = -1.057 eV/atom
1.0
0.000 3.903 3.903
3.903 0.000 3.903
3.903 3.903 0.000
Nd Pt
2 4
Direct
0.125 0.125 0.125 Nd
0.875 0.875 0.875 Nd
0.000 0.500 0.500 Pt
0.500 0.000 0.500 Pt
0.500 0.500 0.000 Pt
0.500 0.500 0.500 Pt


# 2
NdPt12 PBE relaxed; V = 224.3 Å³ per cell; magnetic moment = 0.00 μB per formula unit; crystal system = tetragonal; formation energy = -0.261 eV/atom
1.0
-4.549 4.549 2.710
4.549 -4.549 2.710
4.549 4.549 -2.710
Nd Pt
1 12
Direct
0.000 0.000 0.000 Nd
0.000 0.000 0.500 Pt
0.000 0.346 0.346 Pt
0.000 0.500 0.000 Pt
0.000 0.654 0.654 Pt
0.283 0.500 0.783 Pt
0.346 0.000 0.346 Pt
0.500 0.000 0.000 Pt
0.500 0.283 0.783 Pt
0.500 0.500 0.500 Pt
0.500 0.717 0.217 Pt
0.654 0.000 0.654 Pt
0.717 0.500 0.217 Pt


# 3
Nd3Pt2 PBE relaxed; offset from the most stable computed form = 80 meV/atom; V = 296.0 Å³ per cell; magnetic moment = 0.00 μB per formula unit; crystal system = trigonal; formation energy = -0.864 eV/atom
1.0
3.606 2.082 6.572
-3.606 2.082 6.572
0.000 -4.163 6.572
Nd Pt
6 4
Direct
0.109 0.750 0.391 Nd
0.250 0.609 0.891 Nd
0.391 0.109 0.750 Nd
0.609 0.891 0.250 Nd
0.750 0.391 0.109 Nd
0.891 0.250 0.609 Nd
0.176 0.176 0.176 Pt
0.324 0.324 0.324 Pt
0.676 0.676 0.676 Pt
0.824 0.824 0.824 Pt


# 4
NdPt3 PBE relaxed; V = 159.5 Å³ per cell; magnetic moment = 0.00 μB per formula unit; crystal system = orthorhombic; formation energy = -0.800 eV/atom
1.0
5.386 0.000 0.000
0.000 4.373 0.000
0.000 0.000 6.769
Nd Pt
2 6
Direct
0.250 0.000 0.186 Nd
0.750 0.000 0.814 Nd
0.000 0.500 0.500 Pt
0.250 0.000 0.633 Pt
0.250 0.500 0.871 Pt
0.500 0.500 0.500 Pt
0.750 0.000 0.367 Pt
0.750 0.500 0.129 Pt


# 5
Nd3Pt2 PBE relaxed; offset from the most stable computed form = 20 meV/atom; V = 549.8 Å³ per cell; magnetic moment = 0.00 μB per formula unit; crystal system = orthorhombic; formation energy = -0.924 eV/atom
1.0
11.484 0.000 0.000
0.000 4.023 0.000
0.000 0.000 11.899
Nd Pt
12 8
Direct
0.054 0.250 0.131 Nd
0.123 0.750 0.560 Nd
0.220 0.250 0.807 Nd
0.280 0.750 0.307 Nd
0.377 0.250 0.060 Nd
0.446 0.750 0.631 Nd
0.554 0.250 0.369 Nd
0.623 0.750 0.940 Nd
0.720 0.250 0.693 Nd
0.780 0.750 0.193 Nd
0.877 0.250 0.440 Nd
0.946 0.750 0.869 Nd
0.015 0.750 0.318 Pt
0.183 0.750 0.990 Pt
0.317 0.250 0.490 Pt
0.485 0.250 0.818 Pt
0.515 0.750 0.182 Pt
0.683 0.750 0.510 Pt
0.817 0.250 0.010 Pt
0.985 0.250 0.682 Pt


# 6
Nd3Pt2 PBE relaxed; offset from the most stable computed form = 0 meV/atom; V = 401.7 Å³ per cell; magnetic moment = 0.00 μB per formula unit; crystal system = trigonal; formation energy = -0.944 eV/atom
1.0
4.513 2.605 5.694
-4.513 2.605 5.694
0.000 -5.211 5.694
Nd Pt
9 6
Direct
0.000 0.000 0.000 Nd
0.163 0.396 0.665 Nd
0.200 0.200 0.200 Nd
0.335 0.837 0.604 Nd
0.396 0.665 0.163 Nd
0.604 0.335 0.837 Nd
0.665 0.163 0.396 Nd
0.800 0.800 0.800 Nd
0.837 0.604 0.335 Nd
0.043 0.835 0.411 Pt
0.165 0.589 0.957 Pt
0.411 0.043 0.835 Pt
0.589 0.957 0.165 Pt
0.835 0.411 0.043 Pt
0.957 0.165 0.589 Pt


# 7
Nd2Pt7 PBE relaxed; V = 345.2 Å³ per cell; magnetic moment = 0.00 μB per formula unit; crystal system = trigonal; formation energy = -0.856 eV/atom
1.0
2.733 1.578 13.342
-2.733 1.578 13.342
0.000 -3.156 13.342
Nd Pt
4 14
Direct
0.049 0.049 0.049 Nd
0.147 0.147 0.147 Nd
0.853 0.853 0.853 Nd
0.951 0.951 0.951 Nd
0.000 0.500 0.500 Pt
0.108 0.613 0.613 Pt
0.278 0.278 0.278 Pt
0.387 0.387 0.892 Pt
0.387 0.892 0.387 Pt
0.389 0.389 0.389 Pt
0.500 0.000 0.500 Pt
0.500 0.500 0.000 Pt
0.500 0.500 0.500 Pt
0.611 0.611 0.611 Pt
0.613 0.108 0.613 Pt
0.613 0.613 0.108 Pt
0.722 0.722 0.722 Pt
0.892 0.387 0.387 Pt


# 8
NdPt6 PBE relaxed; offset from the most stable computed form = 1455 meV/atom; V = 222.7 Å³ per cell; magnetic moment = 0.01 μB per formula unit; crystal system = cubic; formation energy = 0.950 eV/atom
1.0
6.062 0.000 0.000
0.000 6.062 0.000
0.000 0.000 6.062
Nd Pt
1 6
Direct
0.000 0.000 0.000 Nd
0.196 0.500 0.500 Pt
0.500 0.196 0.500 Pt
0.500 0.500 0.196 Pt
0.500 0.500 0.804 Pt
0.500 0.804 0.500 Pt
0.804 0.500 0.500 Pt


# 9
Nd4Pt PBE relaxed; offset from the most stable computed form = 0 meV/atom; V = 330.4 Å³ per cell; magnetic moment = 0.00 μB per formula unit; crystal system = tetragonal; formation energy = -0.406 eV/atom
1.0
-4.537 4.537 4.012
4.537 -4.537 4.012
4.537 4.537 -4.012
Nd Pt
8 2
Direct
0.042 0.801 0.160 Nd
0.109 0.449 0.741 Nd
0.118 0.958 0.759 Nd
0.199 0.359 0.241 Nd
0.551 0.292 0.660 Nd
0.632 0.891 0.340 Nd
0.641 0.882 0.840 Nd
0.708 0.368 0.259 Nd
0.250 0.750 0.500 Pt
0.500 0.500 0.000 Pt


# 10
NdPt6 PBE relaxed; offset from the most stable computed form = 0 meV/atom; V = 508.6 Å³ per cell; magnetic moment = 0.00 μB per formula unit; crystal system = orthorhombic; formation energy = -0.505 eV/atom
1.0
9.243 0.000 0.000
0.000 5.333 0.000
0.000 0.000 10.318
Nd Pt
4 24
Direct
0.240 0.250 0.053 Nd
0.260 0.750 0.553 Nd
0.740 0.250 0.447 Nd
0.760 0.750 0.947 Nd
0.031 0.250 0.553 Pt
0.048 0.505 0.780 Pt
0.048 0.995 0.780 Pt
0.086 0.750 0.014 Pt
0.193 0.250 0.341 Pt
0.198 0.750 0.264 Pt
0.302 0.250 0.764 Pt
0.307 0.750 0.841 Pt
0.414 0.250 0.514 Pt
0.452 0.005 0.280 Pt
0.452 0.495 0.280 Pt
0.469 0.750 0.053 Pt
0.531 0.250 0.947 Pt
0.548 0.505 0.720 Pt
0.548 0.995 0.720 Pt
0.586 0.750 0.486 Pt
0.693 0.250 0.159 Pt
0.698 0.750 0.236 Pt
0.802 0.250 0.736 Pt
0.807 0.750 0.659 Pt
0.914 0.250 0.986 Pt
0.952 0.005 0.220 Pt
0.952 0.495 0.220 Pt
0.969 0.750 0.447 Pt


# 11
NdPt3 PBE relaxed; V = 74.0 Å³ per cell; magnetic moment = 0.00 μB per formula unit; crystal system = cubic; formation energy = -0.862 eV/atom
1.0
4.198 0.000 0.000
0.000 4.198 0.000
0.000 0.000 4.198
Nd Pt
1 3
Direct
0.000 0.000 0.000 Nd
0.000 0.500 0.500 Pt
0.500 0.000 0.500 Pt
0.500 0.500 0.000 Pt


# 12
NdPt PBE relaxed; V = 97.8 Å³ per cell; magnetic moment = 0.00 μB per formula unit; crystal system = orthorhombic; formation energy = -1.150 eV/atom
1.0
1.966 -5.447 0.000
1.966 5.447 0.000
0.000 0.000 4.565
Nd Pt
2 2
Direct
0.137 0.863 0.750 Nd
0.863 0.137 0.250 Nd
0.413 0.587 0.750 Pt
0.587 0.413 0.250 Pt


# 13
Nd3Pt4 PBE relaxed; V = 316.9 Å³ per cell; magnetic moment = 0.00 μB per formula unit; crystal system = trigonal; formation energy = -1.102 eV/atom
1.0
6.856 3.958 1.947
-6.856 3.958 1.947
0.000 -7.916 1.947
Nd Pt
6 8
Direct
0.029 0.405 0.281 Nd
0.281 0.029 0.405 Nd
0.405 0.281 0.029 Nd
0.595 0.719 0.971 Nd
0.719 0.971 0.595 Nd
0.971 0.595 0.719 Nd
0.000 0.000 0.000 Pt
0.058 0.223 0.554 Pt
0.223 0.554 0.058 Pt
0.446 0.942 0.777 Pt
0.500 0.500 0.500 Pt
0.554 0.058 0.223 Pt
0.777 0.446 0.942 Pt
0.942 0.777 0.446 Pt


# 14
Nd2Pt17 PBE relaxed; V = 336.1 Å³ per cell; magnetic moment = 0.00 μB per formula unit; crystal system = trigonal; formation energy = -0.412 eV/atom
1.0
4.657 2.689 4.473
-4.657 2.689 4.473
0.000 -5.378 4.473
Nd Pt
2 17
Direct
0.163 0.163 0.163 Nd
0.837 0.837 0.837 Nd
0.000 0.500 0.500 Pt
0.153 0.153 0.661 Pt
0.153 0.661 0.153 Pt
0.192 0.500 0.808 Pt
0.192 0.808 0.500 Pt
0.339 0.847 0.847 Pt
0.394 0.394 0.394 Pt
0.500 0.000 0.500 Pt
0.500 0.192 0.808 Pt
0.500 0.500 0.000 Pt
0.500 0.808 0.192 Pt
0.606 0.606 0.606 Pt
0.661 0.153 0.153 Pt
0.808 0.192 0.500 Pt
0.808 0.500 0.192 Pt
0.847 0.339 0.847 Pt
0.847 0.847 0.339 Pt


# 15
Nd4Pt PBE relaxed; offset from the most stable computed form = 149 meV/atom; V = 183.2 Å³ per cell; magnetic moment = 0.76 μB per formula unit; crystal system = cubic; formation energy = -0.257 eV/atom
1.0
5.679 0.000 0.000
0.000 5.679 0.000
0.000 0.000 5.679
Nd Pt
4 1
Direct
0.000 0.000 0.000 Nd
0.000 0.500 0.500 Nd
0.500 0.000 0.500 Nd
0.500 0.500 0.000 Nd
0.500 0.500 0.500 Pt


# 16
Nd5Pt6 PBE relaxed; V = 264.1 Å³ per cell; magnetic moment = 0.00 μB per formula unit; crystal system = orthorhombic; formation energy = -1.096 eV/atom
1.0
2.194 -15.087 0.000
2.194 15.087 0.000
0.000 0.000 3.988
Nd Pt
5 6
Direct
0.000 0.000 0.000 Nd
0.199 0.801 0.500 Nd
0.383 0.617 0.000 Nd
0.617 0.383 0.000 Nd
0.801 0.199 0.500 Nd
0.099 0.901 0.500 Pt
0.282 0.718 0.000 Pt
0.457 0.543 0.500 Pt
0.543 0.457 0.500 Pt
0.718 0.282 0.000 Pt
0.901 0.099 0.500 Pt


# 17
Nd4Pt PBE relaxed; offset from the most stable computed form = 375 meV/atom; V = 360.0 Å³ per cell; magnetic moment = 0.00 μB per formula unit; crystal system = cubic; formation energy = -0.031 eV/atom
1.0
0.000 5.646 5.646
5.646 0.000 5.646
5.646 5.646 0.000
Nd Pt
8 2
Direct
0.207 0.764 0.764 Nd
0.236 0.236 0.236 Nd
0.236 0.236 0.793 Nd
0.236 0.793 0.236 Nd
0.764 0.207 0.764 Nd
0.764 0.764 0.207 Nd
0.764 0.764 0.764 Nd
0.793 0.236 0.236 Nd
0.375 0.375 0.375 Pt
0.625 0.625 0.625 Pt


# 18
Nd5Pt3 PBE relaxed; V = 867.9 Å³ per cell; magnetic moment = 0.00 μB per formula unit; crystal system = tetragonal; formation energy = -0.904 eV/atom
1.0
11.399 0.000 0.000
0.000 11.399 0.000
0.000 0.000 6.680
Nd Pt
20 12
Direct
0.043 0.159 0.122 Nd
0.043 0.341 0.622 Nd
0.159 0.043 0.622 Nd
0.159 0.457 0.122 Nd
0.250 0.750 0.000 Nd
0.250 0.750 0.500 Nd
0.341 0.043 0.122 Nd
0.341 0.457 0.622 Nd
0.457 0.159 0.622 Nd
0.457 0.341 0.122 Nd
0.543 0.659 0.878 Nd
0.543 0.841 0.378 Nd
0.659 0.543 0.378 Nd
0.659 0.957 0.878 Nd
0.750 0.250 0.000 Nd
0.750 0.250 0.500 Nd
0.841 0.543 0.878 Nd
0.841 0.957 0.378 Nd
0.957 0.659 0.378 Nd
0.957 0.841 0.878 Nd
0.096 0.596 0.750 Pt
0.096 0.904 0.250 Pt
0.250 0.250 0.384 Pt
0.250 0.250 0.884 Pt
0.404 0.596 0.250 Pt
0.404 0.904 0.750 Pt
0.596 0.096 0.250 Pt
0.596 0.404 0.750 Pt
0.750 0.750 0.116 Pt
0.750 0.750 0.616 Pt
0.904 0.096 0.750 Pt
0.904 0.404 0.250 Pt


# 19
Nd2Pu3Pt4 PBE relaxed; V = 431.8 Å³ per cell; magnetic moment = 16.96 μB per formula unit; crystal system = monoclinic; formation energy = -0.883 eV/atom
1.0
7.736 0.000 0.000
0.000 7.778 0.000
-2.571 0.000 7.177
Nd Pu Pt
4 6 8
Direct
0.191 0.176 0.067 Nd
0.191 0.324 0.567 Nd
0.809 0.676 0.433 Nd
0.809 0.824 0.933 Nd
0.246 0.667 0.240 Pu
0.246 0.833 0.740 Pu
0.500 0.000 0.500 Pu
0.500 0.500 0.000 Pu
0.754 0.167 0.260 Pu
0.754 0.333 0.760 Pu
0.079 0.539 0.844 Pt
0.079 0.961 0.344 Pt
0.493 0.131 0.868 Pt
0.493 0.369 0.368 Pt
0.507 0.631 0.632 Pt
0.507 0.869 0.132 Pt
0.921 0.039 0.656 Pt
0.921 0.461 0.156 Pt